Below is a PBEsol-optimized structure of ScSiBr2, with properties calculated at the SCAN level.

Unit cell a=3.963 b=3.963 c=6.091 alpha=108.98 beta=108.98 gamma=90.00
Fractional positions:
Sc1 0.500 0.500 0.000
Si1 0.250 0.750 0.500
Br1 0.000 0.000 0.000
Br2 0.750 0.250 0.500

Values from the calculation:
Formation energy without anion corrections ... -0.162 eV/atom
Density of states at the Fermi level ... 0.5022 states/eV per atom


Below is a PBEsol-optimized structure of ScSiBr2, with properties calculated at the SCAN level.

Unit cell a=3.334 b=4.576 c=7.153 alpha=97.40 beta=103.48 gamma=90.00
Fractional positions:
Br1 0.348 0.291 0.697
Br2 0.652 0.709 0.303
Si1 0.500 0.000 0.000
Sc1 0.000 0.500 0.000

Values from the calculation:
Formation energy without anion corrections ... -0.765 eV/atom
Density of states at the Fermi level ... 0.3508 states/eV per atom